[1]
Entry from Alexandria: a relaxed Re2SiCCl crystal (GGA-PBE).

POSCAR file:
```
Re2SiCCl
1.0
4.3180 0.0000 0.0000
0.0000 4.3180 0.0000
0.0000 0.0000 4.5711
Re Si C Cl
2 1 1 1
direct
0.0000 0.5000 0.0000
0.5000 0.0000 0.0000
0.0000 0.0000 0.5000
0.5000 0.5000 0.5000
0.0000 0.0000 0.0000
```

Summary:
Magnetization: 0.00 μB per formula unit



[2]
Entry from Alexandria: a relaxed ReTeC2Cl crystal (GGA-PBE).

POSCAR file:
```
ReTeC2Cl
1.0
4.0062 0.0000 0.0000
0.0000 4.0062 0.0000
0.0000 0.0000 5.5770
Re Te C Cl
1 1 2 1
direct
0.0000 0.0000 0.0000
0.0000 0.0000 0.5000
0.0000 0.5000 0.0000
0.5000 0.0000 0.0000
0.5000 0.5000 0.5000
```

Summary:
Magnetization: 0.00 μB per formula unit



[3]
Entry from Alexandria: a relaxed TiRe2CCl crystal (GGA-PBE).

POSCAR file:
```
TiRe2CCl
1.0
3.9127 0.0000 0.0000
0.0000 3.9127 0.0000
0.0000 0.0000 5.4548
Ti Re C Cl
1 2 1 1
direct
0.0000 0.0000 0.0000
0.0000 0.5000 0.5000
0.5000 0.0000 0.5000
0.5000 0.5000 0.5000
0.5000 0.5000 0.0000
```

Summary:
Magnetization: 0.00 μB per formula unit



[4]
Entry from Alexandria: a relaxed RhCCl2 crystal (GGA-PBE).

POSCAR file:
```
RhCCl2
1.0
3.1594 0.0000 0.0000
-1.5797 2.7361 0.0000
0.0000 0.0000 22.3933
Rh C Cl
3 3 6
direct
0.0000 0.0000 0.0000
0.3333 0.6667 0.6667
0.6667 0.3333 0.3333
0.0000 0.0000 0.5000
0.3333 0.6667 0.1667
0.6667 0.3333 0.8333
0.0000 0.0000 0.1013
0.0000 0.0000 0.8987
0.3333 0.6667 0.5653
0.3333 0.6667 0.7680
0.6667 0.3333 0.2320
0.6667 0.3333 0.4347
```

Summary:
Magnetization: 0.28 μB per formula unit
Energy above the lowest structure with this stoichiometry: 0 meV per atom



[5]
Entry from Alexandria: a relaxed RhCCl3 crystal (GGA-PBE).

POSCAR file:
```
RhCCl3
1.0
4.4329 0.0000 0.0000
0.0000 4.4329 0.0000
0.0000 0.0000 4.4329
Rh C Cl
1 1 3
direct
0.0000 0.0000 0.0000
0.5000 0.5000 0.5000
0.0000 0.5000 0.5000
0.5000 0.0000 0.5000
0.5000 0.5000 0.0000
```

Summary:
Magnetization: 2.01 μB per formula unit
Energy above the lowest structure with this stoichiometry: 78 meV per atom



[6]
Entry from Alexandria: a relaxed RhCCl2 crystal (GGA-PBE).

POSCAR file:
```
RhCCl2
1.0
6.2092 0.0000 0.0000
0.0000 6.2092 0.0000
0.0000 0.0000 6.2092
Rh C Cl
4 4 8
direct
0.0000 0.0000 0.0000
0.0000 0.5000 0.5000
0.5000 0.0000 0.5000
0.5000 0.5000 0.0000
0.0000 0.0000 0.5000
0.0000 0.5000 0.0000
0.5000 0.0000 0.0000
0.5000 0.5000 0.5000
0.2500 0.2500 0.2500
0.2500 0.2500 0.7500
0.2500 0.7500 0.2500
0.2500 0.7500 0.7500
0.7500 0.2500 0.2500
0.7500 0.2500 0.7500
0.7500 0.7500 0.2500
0.7500 0.7500 0.7500
```

Summary:
Magnetization: 1.01 μB per formula unit
Energy above the lowest structure with this stoichiometry: 290 meV per atom



[7]
Entry from Alexandria: a relaxed RhCCl3 crystal (GGA-PBE).

POSCAR file:
```
RhCCl3
1.0
4.7611 0.0000 0.0000
0.0000 4.7611 0.0000
0.0000 0.0000 4.7611
Rh C Cl
1 1 3
direct
0.0000 0.0000 0.0000
0.5000 0.5000 0.5000
0.0000 0.0000 0.5000
0.0000 0.5000 0.0000
0.5000 0.0000 0.0000
```

Summary:
Magnetization: 0.78 μB per formula unit
Energy above the lowest structure with this stoichiometry: 0 meV per atom



[8]
Entry from Alexandria: a relaxed Rh2CCl crystal (GGA-PBE).

POSCAR file:
```
Rh2CCl
1.0
5.8641 0.0000 0.0000
0.0000 5.8641 0.0000
0.0000 0.0000 5.8641
Rh C Cl
8 4 4
direct
0.2500 0.2500 0.2500
0.2500 0.2500 0.7500
0.2500 0.7500 0.2500
0.2500 0.7500 0.7500
0.7500 0.2500 0.2500
0.7500 0.2500 0.7500
0.7500 0.7500 0.2500
0.7500 0.7500 0.7500
0.0000 0.0000 0.0000
0.0000 0.5000 0.5000
0.5000 0.0000 0.5000
0.5000 0.5000 0.0000
0.0000 0.0000 0.5000
0.0000 0.5000 0.0000
0.5000 0.0000 0.0000
0.5000 0.5000 0.5000
```

Summary:
Magnetization: 0.00 μB per formula unit
Energy above the lowest structure with this stoichiometry: 960 meV per atom



[9]
Entry from Alexandria: a relaxed RhC3Cl crystal (GGA-PBE).

POSCAR file:
```
RhC3Cl
1.0
3.6311 0.0000 0.0000
0.0000 3.6311 0.0000
0.0000 0.0000 3.6311
Rh C Cl
1 3 1
direct
0.0000 0.0000 0.0000
0.0000 0.5000 0.5000
0.5000 0.0000 0.5000
0.5000 0.5000 0.0000
0.5000 0.5000 0.5000
```

Summary:
Magnetization: 0.00 μB per formula unit
Energy above the lowest structure with this stoichiometry: 923 meV per atom



[10]
Entry from Alexandria: a relaxed RhC3Cl crystal (GGA-PBE).

POSCAR file:
```
RhC3Cl
1.0
4.0352 0.0000 0.0000
0.0000 4.0352 0.0000
0.0000 0.0000 4.0352
Rh C Cl
1 3 1
direct
0.0000 0.0000 0.0000
0.0000 0.0000 0.5000
0.0000 0.5000 0.0000
0.5000 0.0000 0.0000
0.5000 0.5000 0.5000
```

Summary:
Magnetization: 1.98 μB per formula unit
Energy above the lowest structure with this stoichiometry: 0 meV per atom



[11]
Entry from Alexandria: a relaxed RhCCl2 crystal (GGA-PBE).

POSCAR file:
```
RhCCl2
1.0
6.4638 0.0000 0.0000
0.0000 6.4638 0.0000
0.0000 0.0000 6.0685
Rh C Cl
4 4 8
direct
0.0000 0.0000 0.0000
0.0000 0.5000 0.2500
0.5000 0.0000 0.7500
0.5000 0.5000 0.5000
0.0000 0.0000 0.5000
0.0000 0.5000 0.7500
0.5000 0.0000 0.2500
0.5000 0.5000 0.0000
0.2476 0.2500 0.6250
0.2500 0.7476 0.8750
0.2500 0.7524 0.3750
0.2524 0.2500 0.1250
0.7476 0.7500 0.1250
0.7500 0.2476 0.3750
0.7500 0.2524 0.8750
0.7524 0.7500 0.6250
```

Summary:
Magnetization: 0.00 μB per formula unit
Energy above the lowest structure with this stoichiometry: 112 meV per atom



[12]
Entry from Alexandria: a relaxed Rh2CCl crystal (GGA-PBE).

POSCAR file:
```
Rh2CCl
1.0
5.0873 0.0000 0.0000
0.0000 5.0873 0.0000
0.0000 0.0000 9.9621
Rh C Cl
8 4 4
direct
0.1592 0.2500 0.1250
0.2500 0.6592 0.3750
0.2500 0.8408 0.8750
0.3408 0.2500 0.6250
0.6592 0.7500 0.6250
0.7500 0.1592 0.8750
0.7500 0.3408 0.3750
0.8408 0.7500 0.1250
0.0000 0.0000 0.0000
0.0000 0.5000 0.2500
0.5000 0.0000 0.7500
0.5000 0.5000 0.5000
0.0000 0.0000 0.5000
0.0000 0.5000 0.7500
0.5000 0.0000 0.2500
0.5000 0.5000 0.0000
```

Summary:
Magnetization: 0.00 μB per formula unit
Energy above the lowest structure with this stoichiometry: 0 meV per atom



[13]
Entry from Alexandria: a relaxed RuRhCCl2 crystal (GGA-PBE).

POSCAR file:
```
RuRhCCl2
1.0
4.6162 0.0000 0.0000
0.0000 4.6162 0.0000
0.0000 0.0000 4.8555
Ru Rh C Cl
1 1 1 2
direct
0.0000 0.0000 0.0000
0.0000 0.0000 0.5000
0.5000 0.5000 0.5000
0.0000 0.5000 0.0000
0.5000 0.0000 0.0000
```

Summary:
Magnetization: 0.48 μB per formula unit



[14]
Entry from Alexandria: a relaxed RhCSCl2 crystal (GGA-PBE).

POSCAR file:
```
RhCSCl2
1.0
4.5838 0.0000 0.0000
0.0000 4.5838 0.0000
0.0000 0.0000 3.9197
Rh C S Cl
1 1 1 2
direct
0.0000 0.0000 0.0000
0.5000 0.5000 0.5000
0.5000 0.5000 0.0000
0.0000 0.5000 0.5000
0.5000 0.0000 0.5000
```

Summary:
Magnetization: 2.65 μB per formula unit
Energy above the lowest structure with this stoichiometry: 0 meV per atom



Electronic total energy readings, ordered: -5.23, -6.05, -7.97, -3.60, -3.09, -3.31, -3.16, -5.12, -4.13, -5.06, -3.48, -6.08, -4.05, -3.47 eV/atom
ΔE_f (raw) readings, ordered: 3.052, 1.126, 0.803, 1.471, 1.338, 1.761, 1.260, 1.327, 3.241, 2.317, 1.583, 0.366, 1.861, 1.409 eV per atom